A geometry-optimized Ho6BiSb3As2 structure, computed with PBE.

Values from the calculation:
M_tot	0.0	μB/cell
energy	-5.5983	eV per atom
uncorrected formation energy	-1.181	eV per atom

a = 18.7082 Å, b = 4.2813 Å, c = 8.6169 Å
α = 90.00°, β = 103.19°, γ = 90.00°
Closest atoms and distances in Å follow each position.
Space group C2/m (No. 12)
Asymmetric unit:
Ho: 0.0074 0.0000 0.2589 x4  1 As 2.93, 3 Sb 3.01-3.10, 2 Bi 3.07
Ho: 0.1713 0.5000 0.0988 x4  2 As 2.97, 3 Sb 3.02-3.12, 1 Bi 3.12
Ho: 0.1714 0.5000 0.5745 x4  3 As 2.92-2.96, 3 Sb 3.11-3.12
Bi: 0.0000 0.5000 0.0000 x2  6 Ho 3.07-3.12
Sb: 0.0000 0.5000 0.5000 x2  6 Ho 3.01-3.12
Sb: 0.1630 0.0000 0.8318 x4  6 Ho 3.02-3.12
As: 0.1685 0.0000 0.3359 x4  6 Ho 2.92-2.97

=====

A geometry-optimized Ho4BiSb2As structure, computed with PBE.

Values from the calculation:
M_tot	0.0	μB/cell
energy	-5.5021	eV per atom
uncorrected formation energy	-1.116	eV per atom

a = 7.4878 Å, b = 4.3170 Å, c = 7.5130 Å
α = 90.00°, β = 109.33°, γ = 90.00°
Closest atoms and distances in Å follow each position.
Space group P2/m (No. 10)
Asymmetric unit:
Ho: 0.2401 0.0000 0.2365 x2  2 As 2.99, 3 Sb 3.04-3.13, 1 Bi 3.08
Ho: 0.2474 0.5000 0.7604 x2  1 As 2.98, 3 Sb 3.04-3.14, 2 Bi 3.09
Bi: 0.0000 0.0000 0.5000 x1  6 Ho 3.08-3.09
Sb: 0.5000 0.0000 0.0000 x1  6 Ho 3.04
Sb: 0.5000 0.5000 0.5000 x1  6 Ho 3.13-3.14
As: 0.0000 0.5000 0.0000 x1  6 Ho 2.98-2.99

=====

A geometry-optimized Ho4Bi2SbAs structure, computed with PBE.

Values from the calculation:
M_tot	0.0	μB/cell
energy	-5.4081	eV per atom
uncorrected formation energy	-1.052	eV per atom

a = 7.5272 Å, b = 4.3263 Å, c = 7.5620 Å
α = 90.00°, β = 109.19°, γ = 90.00°
Closest atoms and distances in Å follow each position.
Space group P2/m (No. 10)
Asymmetric unit:
Ho: 0.2356 0.0000 0.2318 x2  2 As 2.98, 1 Sb 3.05, 3 Bi 3.10-3.18
Ho: 0.2455 0.5000 0.7626 x2  1 As 2.97, 2 Sb 3.05, 3 Bi 3.10-3.18
Bi: 0.0000 0.0000 0.5000 x1  6 Ho 3.10
Bi: 0.5000 0.5000 0.5000 x1  6 Ho 3.18
Sb: 0.5000 0.0000 0.0000 x1  6 Ho 3.05
As: 0.0000 0.5000 0.0000 x1  6 Ho 2.97-2.98

=====

A geometry-optimized Ho4BiAs2Se structure, computed with PBE.

Values from the calculation:
M_tot	0.0	μB/cell
energy	-5.7923	eV per atom
uncorrected formation energy	-1.420	eV per atom

a = 7.2259 Å, b = 4.1697 Å, c = 7.2874 Å
α = 90.00°, β = 109.19°, γ = 90.00°
Closest atoms and distances in Å follow each position.
Space group P2/m (No. 10)
Asymmetric unit:
Ho: 0.2376 0.0000 0.2300 x2  3 As 2.87-2.91, 1 Se 3.01, 2 Bi 3.06
Ho: 0.2509 0.5000 0.7668 x2  3 As 2.86-2.91, 2 Se 3.02, 1 Bi 3.05
Bi: 0.5000 0.5000 0.5000 x1  6 Ho 3.05-3.06
As: 0.0000 0.5000 0.0000 x1  6 Ho 2.86-2.87
As: 0.5000 0.0000 0.0000 x1  6 Ho 2.91
Se: 0.0000 0.0000 0.5000 x1  6 Ho 3.01-3.02

=====

A geometry-optimized Ho4BiAsSe2 structure, computed with PBE.

Values from the calculation:
M_tot	0.0	μB/cell
energy	-5.6748	eV per atom
uncorrected formation energy	-1.448	eV per atom

a = 7.1780 Å, b = 4.1731 Å, c = 7.3048 Å
α = 90.00°, β = 109.56°, γ = 90.00°
Closest atoms and distances in Å follow each position.
Space group P2/m (No. 10)
Asymmetric unit:
Ho: 0.2408 0.0000 0.2284 x2  3 Se 2.86-3.04, 1 As 2.89, 2 Bi 3.05
Ho: 0.2533 0.5000 0.7664 x2  3 Se 2.88-3.01, 2 As 2.89, 1 Bi 3.04
Bi: 0.5000 0.5000 0.5000 x1  6 Ho 3.04-3.05
As: 0.5000 0.0000 0.0000 x1  6 Ho 2.89
Se: 0.0000 0.0000 0.5000 x1  6 Ho 3.01-3.04
Se: 0.0000 0.5000 0.0000 x1  6 Ho 2.86-2.88

=====

A geometry-optimized Ho4Bi2AsSe structure, computed with PBE.

Values from the calculation:
M_tot	0.0	μB/cell
energy	-5.5020	eV per atom
uncorrected formation energy	-1.226	eV per atom

a = 7.3634 Å, b = 4.2540 Å, c = 7.4397 Å
α = 90.00°, β = 109.21°, γ = 90.00°
Closest atoms and distances in Å follow each position.
Space group P2/m (No. 10)
Asymmetric unit:
Ho: 0.2378 0.0000 0.2277 x2  2 As 2.92, 1 Se 2.96, 3 Bi 3.08-3.13
Ho: 0.2513 0.5000 0.7694 x2  1 As 2.91, 2 Se 2.96, 3 Bi 3.09-3.13
Bi: 0.0000 0.0000 0.5000 x1  6 Ho 3.08-3.09
Bi: 0.5000 0.5000 0.5000 x1  6 Ho 3.13
As: 0.0000 0.5000 0.0000 x1  6 Ho 2.91-2.92
Se: 0.5000 0.0000 0.0000 x1  6 Ho 2.96

=====

A geometry-optimized TbHoBiAs structure, computed with PBE.

Values from the calculation:
M_tot	0.0	μB/cell
energy of formation from the pure elements	-1.084	eV/atom
energy	-5.5189	eV per atom

a = 4.2242 Å, b = 4.2242 Å, c = 22.0392 Å
α = 90.00°, β = 90.00°, γ = 120.00°
Closest atoms and distances in Å follow each position.
Space group R3m (No. 160, hexagonal axes)
Asymmetric unit:
Tb: 0.0000 0.0000 0.0000 x3  3 As 2.97, 3 Bi 3.20
Ho: 0.0000 0.0000 0.1858 x3  3 As 2.90, 3 Bi 3.16
Bi: 0.0000 0.0000 0.7609 x3  3 Ho 3.16, 3 Tb 3.20
As: 0.0000 0.0000 0.5900 x3  3 Ho 2.90, 3 Tb 2.97

=====

A geometry-optimized Ho6Bi2TeAs3 structure, computed with PBE.

Values from the calculation:
M_tot	0.0	μB/cell
energy	-5.6331	eV per atom
uncorrected formation energy	-1.273	eV per atom

a = 18.6203 Å, b = 4.2330 Å, c = 8.5717 Å
α = 90.00°, β = 104.27°, γ = 90.00°
Closest atoms and distances in Å follow each position.
Space group C2/m (No. 12)
Asymmetric unit:
Ho: 0.0053 0.0000 0.2336 x4  3 As 2.90, 1 Bi 3.10, 2 Te 3.13
Ho: 0.1612 0.5000 0.0968 x4  3 As 2.91-2.92, 3 Bi 3.12
Ho: 0.1726 0.5000 0.5700 x4  3 As 2.91-2.92, 2 Bi 3.11, 1 Te 3.12
Bi: 0.1663 0.0000 0.8324 x4  6 Ho 3.10-3.12
Te: 0.0000 0.5000 0.5000 x2  6 Ho 3.12-3.13
As: 0.0000 0.5000 0.0000 x2  6 Ho 2.90-2.91
As: 0.1657 0.0000 0.3340 x4  6 Ho 2.90-2.92

=====

A geometry-optimized Ho6BiTe3As2 structure, computed with PBE.

Values from the calculation:
M_tot	0.0	μB/cell
energy	-5.5009	eV per atom
uncorrected formation energy	-1.328	eV per atom

a = 18.7789 Å, b = 4.2483 Å, c = 8.6318 Å
α = 90.00°, β = 103.90°, γ = 90.00°
Closest atoms and distances in Å follow each position.
Space group C2/m (No. 12)
Asymmetric unit:
Ho: 0.0138 0.0000 0.2578 x4  1 As 2.82, 2 Te 3.03, 2 Bi 3.04
Ho: 0.1713 0.5000 0.1155 x4  2 As 2.87, 3 Te 3.07-3.20, 1 Bi 3.13
Ho: 0.1756 0.5000 0.5679 x4  3 As 2.84-2.89
Bi: 0.0000 0.5000 0.0000 x2  6 Ho 3.04-3.13
Te: 0.0000 0.5000 0.5000 x2  6 Ho 3.03-3.21
Te: 0.1614 0.0000 0.8337 x4  6 Ho 3.07-3.20
As: 0.1687 0.0000 0.3375 x4  6 Ho 2.82-2.89

=====

A geometry-optimized Ho6Bi2Te3As structure, computed with PBE.

Values from the calculation:
M_tot	0.0	μB/cell
energy	-5.3000	eV per atom
uncorrected formation energy	-1.191	eV per atom

a = 19.0362 Å, b = 4.3198 Å, c = 8.7176 Å
α = 90.00°, β = 103.14°, γ = 90.00°
Closest atoms and distances in Å follow each position.
Space group C2/m (No. 12)
Asymmetric unit:
Ho: 0.0008 0.0000 0.2794 x4  2 As 2.89, 1 Bi 3.13, 1 Te 3.16
Ho: 0.1516 0.5000 0.5761 x4  1 As 2.81, 2 Bi 3.08, 2 Te 3.08
Ho: 0.1639 0.5000 0.0820 x4  3 Te 3.04-3.08, 3 Bi 3.07-3.13
Bi: 0.1675 0.0000 0.8334 x4  6 Ho 3.07-3.13
Te: 0.0000 0.5000 0.0000 x2  6 Ho 3.04-3.25
Te: 0.1708 0.0000 0.3371 x4  6 Ho 3.08-3.29
As: 0.0000 0.5000 0.5000 x2  6 Ho 2.81-2.89

=====

A geometry-optimized Ho4BiTeAs2 structure, computed with PBE.

Values from the calculation:
M_tot	0.0	μB/cell
energy	-5.6572	eV per atom
uncorrected formation energy	-1.328	eV per atom

a = 7.3089 Å, b = 4.2173 Å, c = 7.4369 Å
α = 90.00°, β = 109.01°, γ = 90.00°
Closest atoms and distances in Å follow each position.
Space group P2/m (No. 10)
Asymmetric unit:
Ho: 0.2388 0.0000 0.2223 x2  3 As 2.89-2.90, 1 Bi 3.11, 2 Te 3.13
Ho: 0.2576 0.5000 0.7757 x2  3 As 2.89-2.91, 2 Bi 3.11, 1 Te 3.12
Bi: 0.0000 0.0000 0.5000 x1  6 Ho 3.11
Te: 0.5000 0.5000 0.5000 x1  6 Ho 3.12-3.13
As: 0.0000 0.5000 0.0000 x1  6 Ho 2.89
As: 0.5000 0.0000 0.0000 x1  6 Ho 2.90-2.91

=====

A geometry-optimized Ho8BiTe4As3 structure, computed with PBE.

Values from the calculation:
M_tot	0.0	μB/cell
energy	-5.5436	eV per atom
uncorrected formation energy	-1.355	eV per atom

a = 8.4958 Å, b = 8.4958 Å, c = 21.1632 Å
α = 90.00°, β = 90.00°, γ = 120.00°
Closest atoms and distances in Å follow each position.
Space group R-3m (No. 166, hexagonal axes)
Asymmetric unit:
Ho: 0.0000 0.0000 0.2389 x6  3 As 2.89, 3 Te 3.16
Ho: 0.0165 0.5082 0.7583 x18  2 As 2.87, 1 Bi 3.02, 3 Te 3.03-3.18
Bi: 0.0000 0.0000 0.5000 x3  6 Ho 3.02
Te: 0.0000 0.0000 0.0000 x3  6 Ho 3.03
Te: 0.0000 0.5000 0.0000 x9  6 Ho 3.16-3.18
As: 0.0000 0.5000 0.5000 x9  6 Ho 2.87-2.89